Below is crystalline NdSmDyLu at its relaxed geometry, with properties calculated at the GGA-PBE level.

a = 5.6985 Å, b = 5.6985 Å, c = 5.6985 Å
α = 60.00°, β = 60.00°, γ = 60.00°
With the nearest neighbours (Å) after each atom.
Fractional coordinates of all 4 atoms:
Nd (0.0000, 0.0000, 0.0000)  4 Dy 3.49, 4 Lu 3.49
Sm (0.5000, 0.5000, 0.5000)  4 Dy 3.49, 4 Lu 3.49
Dy (0.7500, 0.7500, 0.7500)  4 Nd 3.49, 4 Sm 3.49
Lu (0.2500, 0.2500, 0.2500)  4 Nd 3.49, 4 Sm 3.49

Its energy relative to the elements is 0.107 eV per atom. As for the symmetry: F-43m.

Below is crystalline NdDyLuSn at its relaxed geometry, with properties calculated at the GGA-PBE level.

a = 5.4353 Å, b = 5.4353 Å, c = 5.4353 Å
α = 60.00°, β = 60.00°, γ = 60.00°
With the nearest neighbours (Å) after each atom.
Fractional coordinates of all 4 atoms:
Nd (0.0000, 0.0000, 0.0000)  4 Lu 3.33, 4 Sn 3.33
Dy (0.5000, 0.5000, 0.5000)  4 Sn 3.33, 4 Lu 3.33
Lu (0.7500, 0.7500, 0.7500)  4 Dy 3.33, 4 Nd 3.33
Sn (0.2500, 0.2500, 0.2500)  4 Dy 3.33, 4 Nd 3.33

Its energy relative to the elements is -0.244 eV per atom. As for the symmetry: F-43m.

Below is crystalline TbNdDyLu at its relaxed geometry, with properties calculated at the GGA-PBE level.

a = 5.6746 Å, b = 5.6746 Å, c = 5.6746 Å
α = 60.00°, β = 60.00°, γ = 60.00°
With the nearest neighbours (Å) after each atom.
Fractional coordinates of all 4 atoms:
Tb (0.0000, 0.0000, 0.0000)  4 Lu 3.47, 4 Dy 3.47
Nd (0.5000, 0.5000, 0.5000)  4 Lu 3.47, 4 Dy 3.47
Dy (0.2500, 0.2500, 0.2500)  4 Tb 3.47, 4 Nd 3.47
Lu (0.7500, 0.7500, 0.7500)  4 Tb 3.47, 4 Nd 3.47

Its energy relative to the elements is 0.117 eV per atom. As for the symmetry: F-43m.

Below is crystalline NdDyTmLu at its relaxed geometry, with properties calculated at the GGA-PBE level.

a = 5.6453 Å, b = 5.6453 Å, c = 5.6453 Å
α = 60.00°, β = 60.00°, γ = 60.00°
With the nearest neighbours (Å) after each atom.
Fractional coordinates of all 4 atoms:
Nd (0.0000, 0.0000, 0.0000)  4 Lu 3.46, 4 Tm 3.46
Dy (0.5000, 0.5000, 0.5000)  4 Tm 3.46, 4 Lu 3.46
Tm (0.2500, 0.2500, 0.2500)  4 Dy 3.46, 4 Nd 3.46
Lu (0.7500, 0.7500, 0.7500)  4 Dy 3.46, 4 Nd 3.46

Its energy relative to the elements is 0.104 eV per atom. As for the symmetry: F-43m.

Below is crystalline NdDyLuZr at its relaxed geometry, with properties calculated at the GGA-PBE level.

a = 5.4943 Å, b = 5.4943 Å, c = 5.4943 Å
α = 60.00°, β = 60.00°, γ = 60.00°
With the nearest neighbours (Å) after each atom.
Fractional coordinates of all 4 atoms:
Nd (0.0000, 0.0000, 0.0000)  4 Dy 3.36, 4 Lu 3.36
Dy (0.7500, 0.7500, 0.7500)  4 Nd 3.36, 4 Zr 3.36
Lu (0.2500, 0.2500, 0.2500)  4 Zr 3.36, 4 Nd 3.36
Zr (0.5000, 0.5000, 0.5000)  4 Dy 3.36, 4 Lu 3.36

Its energy relative to the elements is 0.215 eV per atom. As for the symmetry: F-43m.

Below is crystalline DyLuNi at its relaxed geometry, with properties calculated at the GGA-PBE level.

a = 4.6849 Å, b = 4.6849 Å, c = 4.6849 Å
α = 60.00°, β = 60.00°, γ = 60.00°
With the nearest neighbours (Å) after each atom.
Fractional coordinates of all 3 atoms:
Dy (0.0000, 0.0000, 0.0000)  4 Ni 2.87
Lu (0.5000, 0.5000, 0.5000)  4 Ni 2.87
Ni (0.2500, 0.2500, 0.2500)  4 Lu 2.87, 4 Dy 2.87

The calculation puts the distance to the lowest polymorph of the same formula at 0.0855 eV/atom. Its energy relative to the elements is -0.194 eV per atom. As for the symmetry: F-43m.

Below is crystalline DyLuNi4 at its relaxed geometry, with properties calculated at the GGA-PBE level.

a = 5.0329 Å, b = 5.0329 Å, c = 5.0329 Å
α = 60.00°, β = 60.00°, γ = 60.00°
With the nearest neighbours (Å) after each atom.
Fractional coordinates of all 6 atoms:
Dy (0.0000, 0.0000, 0.0000)  12 Ni 2.95, 4 Lu 3.08
Lu (0.7500, 0.7500, 0.7500)  12 Ni 2.95, 4 Dy 3.08
Ni (0.3754, 0.3754, 0.3754)  6 Ni 2.51-2.53
Ni (0.3754, 0.3754, 0.8737)  6 Ni 2.51-2.53
Ni (0.3754, 0.8737, 0.3754)  6 Ni 2.51-2.53
Ni (0.8737, 0.3754, 0.3754)  6 Ni 2.51-2.53

Its energy relative to the elements is -0.482 eV per atom. As for the symmetry: F-43m.

Below is crystalline DyLuNi2 at its relaxed geometry, with properties calculated at the GGA-PBE level.

a = 4.7496 Å, b = 4.7496 Å, c = 3.2928 Å
α = 90.00°, β = 90.00°, γ = 90.00°
With the nearest neighbours (Å) after each atom.
Fractional coordinates of all 4 atoms:
Dy (0.0000, 0.0000, 0.0000)  8 Ni 2.89
Lu (0.5000, 0.5000, 0.0000)  8 Ni 2.89
Ni (0.0000, 0.5000, 0.5000)  4 Dy 2.89, 4 Lu 2.89
Ni (0.5000, 0.0000, 0.5000)  4 Dy 2.89, 4 Lu 2.89

The calculation puts the distance to the lowest polymorph of the same formula at 0.0007 eV/atom. Its energy relative to the elements is -0.435 eV per atom. As for the symmetry: P4/mmm.

Below is crystalline Dy3LuNi at its relaxed geometry, with properties calculated at the GGA-PBE level.

a = 5.2871 Å, b = 5.2871 Å, c = 5.2871 Å
α = 90.00°, β = 90.00°, γ = 90.00°
With the nearest neighbours (Å) after each atom.
Fractional coordinates of all 5 atoms:
Dy (0.0000, 0.0000, 0.5000)  2 Ni 2.64
Dy (0.0000, 0.5000, 0.0000)  2 Ni 2.64
Dy (0.5000, 0.0000, 0.0000)  2 Ni 2.64
Lu (0.5000, 0.5000, 0.5000)  12 Dy 3.74
Ni (0.0000, 0.0000, 0.0000)  6 Dy 2.64

Its energy relative to the elements is 0.001 eV per atom. As for the symmetry: Pm-3m.

Below is crystalline DyLuNi2 at its relaxed geometry, with properties calculated at the GGA-PBE level.

a = 4.7254 Å, b = 4.7254 Å, c = 4.7254 Å
α = 60.00°, β = 60.00°, γ = 60.00°
With the nearest neighbours (Å) after each atom.
Fractional coordinates of all 4 atoms:
Dy (0.0000, 0.0000, 0.0000)  8 Ni 2.89
Lu (0.5000, 0.5000, 0.5000)  8 Ni 2.89
Ni (0.2500, 0.2500, 0.2500)  4 Dy 2.89, 4 Lu 2.89
Ni (0.7500, 0.7500, 0.7500)  4 Dy 2.89, 4 Lu 2.89

The calculation puts the distance to the lowest polymorph of the same formula at 0.0000 eV/atom. Its energy relative to the elements is -0.435 eV per atom. As for the symmetry: Fm-3m.

Below is crystalline DyLuNi at its relaxed geometry, with properties calculated at the GGA-PBE level.

a = 4.4973 Å, b = 4.4973 Å, c = 3.9486 Å
α = 90.00°, β = 90.00°, γ = 120.00°
With the nearest neighbours (Å) after each atom.
Fractional coordinates of all 3 atoms:
Dy (0.0000, 0.0000, 0.0000)  3 Ni 2.85
Lu (0.3333, 0.6667, 0.5106)  3 Ni 2.73
Ni (0.6667, 0.3333, 0.2959)  3 Lu 2.73, 3 Dy 2.85

The calculation puts the distance to the lowest polymorph of the same formula at 0.1878 eV/atom. Its energy relative to the elements is -0.091 eV per atom. As for the symmetry: P3m1.

Below is crystalline DyLuNi at its relaxed geometry, with properties calculated at the GGA-PBE level.

a = 6.5660 Å, b = 6.5660 Å, c = 6.5660 Å
α = 150.34°, β = 150.34°, γ = 42.44°
With the nearest neighbours (Å) after each atom.
Fractional coordinates of all 3 atoms:
Dy (0.0000, 0.0000, 0.0000)  4 Ni 2.91, 1 Lu 3.23
Lu (0.2640, 0.2640, 0.0000)  4 Ni 2.83
Ni (0.6378, 0.6378, 0.0000)  4 Lu 2.83, 4 Dy 2.91

The calculation puts the distance to the lowest polymorph of the same formula at 0.0000 eV/atom. Its energy relative to the elements is -0.279 eV per atom. As for the symmetry: I4mm.

Below is crystalline DyLuNiPd at its relaxed geometry, with properties calculated at the GGA-PBE level.

a = 4.8337 Å, b = 4.8337 Å, c = 4.8337 Å
α = 60.00°, β = 60.00°, γ = 60.00°
With the nearest neighbours (Å) after each atom.
Fractional coordinates of all 4 atoms:
Dy (0.0000, 0.0000, 0.0000)  4 Ni 2.96, 4 Pd 2.96
Lu (0.5000, 0.5000, 0.5000)  4 Pd 2.96, 4 Ni 2.96
Ni (0.2500, 0.2500, 0.2500)  4 Lu 2.96, 4 Dy 2.96
Pd (0.7500, 0.7500, 0.7500)  4 Dy 2.96, 4 Lu 2.96

Its energy relative to the elements is -0.665 eV per atom. As for the symmetry: F-43m.

Below is crystalline DyLuSiNi at its relaxed geometry, with properties calculated at the GGA-PBE level.

a = 4.8276 Å, b = 4.8276 Å, c = 4.8276 Å
α = 60.00°, β = 60.00°, γ = 60.00°
With the nearest neighbours (Å) after each atom.
Fractional coordinates of all 4 atoms:
Dy (0.0000, 0.0000, 0.0000)  4 Ni 2.96, 4 Si 2.96
Lu (0.5000, 0.5000, 0.5000)  4 Ni 2.96, 4 Si 2.96
Si (0.2500, 0.2500, 0.2500)  4 Dy 2.96, 4 Lu 2.96
Ni (0.7500, 0.7500, 0.7500)  4 Dy 2.96, 4 Lu 2.96

The uncorrected formation energy is -0.4960 eV per atom. As for the symmetry: F-43m.

Below is crystalline DyLuNiSn at its relaxed geometry, with properties calculated at the GGA-PBE level.

a = 5.0390 Å, b = 5.0390 Å, c = 5.0390 Å
α = 60.00°, β = 60.00°, γ = 60.00°
With the nearest neighbours (Å) after each atom.
Fractional coordinates of all 4 atoms:
Dy (0.0000, 0.0000, 0.0000)  4 Sn 3.09, 4 Ni 3.09
Lu (0.5000, 0.5000, 0.5000)  4 Sn 3.09, 4 Ni 3.09
Ni (0.2500, 0.2500, 0.2500)  4 Dy 3.09, 4 Lu 3.09
Sn (0.7500, 0.7500, 0.7500)  4 Dy 3.09, 4 Lu 3.09

Its energy relative to the elements is -0.445 eV per atom. As for the symmetry: F-43m.

Below is crystalline DyLuTcNi at its relaxed geometry, with properties calculated at the GGA-PBE level.

a = 4.7545 Å, b = 4.7545 Å, c = 4.7545 Å
α = 60.00°, β = 60.00°, γ = 60.00°
With the nearest neighbours (Å) after each atom.
Fractional coordinates of all 4 atoms:
Dy (0.0000, 0.0000, 0.0000)  4 Tc 2.91, 4 Ni 2.91
Lu (0.5000, 0.5000, 0.5000)  4 Tc 2.91, 4 Ni 2.91
Tc (0.7500, 0.7500, 0.7500)  4 Dy 2.91, 4 Lu 2.91
Ni (0.2500, 0.2500, 0.2500)  4 Dy 2.91, 4 Lu 2.91

Its energy relative to the elements is -0.172 eV per atom. As for the symmetry: F-43m.

Below is crystalline DyLuTlNi at its relaxed geometry, with properties calculated at the GGA-PBE level.

a = 5.0599 Å, b = 5.0599 Å, c = 5.0599 Å
α = 60.00°, β = 60.00°, γ = 60.00°
With the nearest neighbours (Å) after each atom.
Fractional coordinates of all 4 atoms:
Dy (0.0000, 0.0000, 0.0000)  4 Tl 3.10, 4 Ni 3.10
Lu (0.5000, 0.5000, 0.5000)  4 Tl 3.10, 4 Ni 3.10
Tl (0.7500, 0.7500, 0.7500)  4 Dy 3.10, 4 Lu 3.10
Ni (0.2500, 0.2500, 0.2500)  4 Dy 3.10, 4 Lu 3.10

Its energy relative to the elements is -0.257 eV per atom. As for the symmetry: F-43m.

Below is crystalline DyLuZnNi at its relaxed geometry, with properties calculated at the GGA-PBE level.

a = 4.8534 Å, b = 4.8534 Å, c = 4.8534 Å
α = 60.00°, β = 60.00°, γ = 60.00°
With the nearest neighbours (Å) after each atom.
Fractional coordinates of all 4 atoms:
Dy (0.0000, 0.0000, 0.0000)  4 Zn 2.97, 4 Ni 2.97
Lu (0.5000, 0.5000, 0.5000)  4 Zn 2.97, 4 Ni 2.97
Zn (0.7500, 0.7500, 0.7500)  4 Dy 2.97, 4 Lu 2.97
Ni (0.2500, 0.2500, 0.2500)  4 Dy 2.97, 4 Lu 2.97

Its energy relative to the elements is -0.372 eV per atom. As for the symmetry: F-43m.

Below is crystalline Dy3LuO at its relaxed geometry, with properties calculated at the GGA-PBE level.

a = 4.9094 Å, b = 4.9094 Å, c = 4.9094 Å
α = 90.00°, β = 90.00°, γ = 90.00°
With the nearest neighbours (Å) after each atom.
Fractional coordinates of all 5 atoms:
Dy (0.0000, 0.0000, 0.5000)  2 O 2.45
Dy (0.0000, 0.5000, 0.0000)  2 O 2.45
Dy (0.5000, 0.0000, 0.0000)  2 O 2.45
Lu (0.5000, 0.5000, 0.5000)  12 Dy 3.47
O (0.0000, 0.0000, 0.0000)  6 Dy 2.45

The uncorrected formation energy is -1.1141 eV per atom. As for the symmetry: Pm-3m.

Below is crystalline DyLuO at its relaxed geometry, with properties calculated at the GGA-PBE level.

a = 3.4671 Å, b = 3.4671 Å, c = 5.6603 Å
α = 90.00°, β = 90.00°, γ = 120.00°
With the nearest neighbours (Å) after each atom.
Fractional coordinates of all 3 atoms:
Dy (0.0000, 0.0000, 0.0000)  3 O 2.47
Lu (0.3333, 0.6667, 0.4773)  3 O 2.36
O (0.6667, 0.3333, 0.2566)  3 Lu 2.36, 3 Dy 2.47

The uncorrected formation energy is -1.8098 eV per atom. As for the symmetry: P3m1.

no.,Fermi-level density of states (states/eV/cell)
1,6.85
2,6.72
3,7.00
4,5.61
5,7.42
6,3.18
7,3.53
8,2.58
9,10.26
10,3.75
11,3.02
12,2.40
13,2.98
14,1.33
15,1.47
16,3.58
17,4.01
18,2.76
19,5.20
20,3.57